1.
Zn2HCl: optimized geometry, GGA-PBE.

Lattice parameters (Å, degrees): 4.657 4.657 7.130 70.94 70.94 90.00
Atoms (fractional coordinates):
Zn1 0.276 0.625 0.250
Cl1 0.000 0.000 0.000
Zn2 0.474 0.125 0.250
H1 0.500 0.500 0.000
Zn3 0.375 0.526 0.750
Zn4 0.875 0.724 0.750
Cl2 0.750 0.250 0.500
H2 0.250 0.750 0.500

E above lowest polymorph	0.000	eV/atom
magnetization	0.00	Bohr magnetons per cell
calculated total energy	-1.970	eV/atom

***

2.
ZnHCl: optimized geometry, GGA-PBE.

Lattice parameters (Å, degrees): 4.984 7.197 7.346 104.37 90.00 90.00
Atoms (fractional coordinates):
H1 0.866 0.711 0.068
Zn1 0.180 0.786 0.120
Cl1 0.837 0.904 0.692
Zn2 0.820 0.214 0.880
Zn3 0.680 0.714 0.880
Cl2 0.163 0.096 0.308
H2 0.134 0.289 0.932
Cl3 0.337 0.596 0.308
Cl4 0.663 0.404 0.692
Zn4 0.320 0.286 0.120
H3 0.366 0.789 0.932
H4 0.634 0.211 0.068

magnetization	0.00	Bohr magnetons per cell
calculated total energy	-2.689	eV/atom

***

3.
Zn3HCl: optimized geometry, GGA-PBE.

Lattice parameters (Å, degrees): 5.339 5.339 5.339 90.00 90.00 90.00
Each line ends with the local moment (μB).
Atoms (fractional coordinates):
Zn1 0.000 0.500 0.000  0.00
H1 0.500 0.500 0.500  0.17
Zn2 0.000 0.000 0.500  0.00
Zn3 0.500 0.000 0.000  0.00
Cl1 0.000 0.000 0.000  -0.05

E above lowest polymorph	0.659	eV/atom
magnetization	0.27	Bohr magnetons per cell
calculated total energy	-0.848	eV/atom